1.
A plane-wave DFT calculation with GGA-PBE was carried out for a geometry-optimized AlCuPb structure.

Calculated values
Size of the total moment: 0.00 μB/cell
Total DFT energy (no corrections): -3.819 eV/atom
SG: No. 156
Formation enthalpy at 0 K: 0.09 eV/f.u.

Cell: 4.134 4.134 8.637 Å, 90.00 90.00 120.00°
Fractional positions:
Al  0.000  0.000  0.000
Al  0.333  0.667  0.206
Cu  0.333  0.667  0.917
Cu  0.667  0.333  0.088
Pb  0.000  0.000  0.410
Pb  0.667  0.333  0.726

2.
A plane-wave DFT calculation with GGA-PBE was carried out for a geometry-optimized AlCuPb2 structure.

Calculated values
Size of the total moment: 0.00 μB/cell
Total DFT energy (no corrections): -3.490 eV/atom
SG: No. 123
Formation enthalpy at 0 K: 1.30 eV/f.u.

Cell: 5.182 5.182 3.471 Å, 90.00 90.00 90.00°
Fractional positions:
Al  0.000  0.000  0.000
Cu  0.500  0.500  0.000
Pb  0.000  0.500  0.500
Pb  0.500  0.000  0.500

3.
A plane-wave DFT calculation with GGA-PBE was carried out for a geometry-optimized AlCu2Pb structure.

Calculated values
Size of the total moment: 0.00 μB/cell
Total DFT energy (no corrections): -3.533 eV/atom
SG: No. 216
Formation enthalpy at 0 K: 1.51 eV/f.u.
ΔE to the lowest computed polymorph: 271 meV per atom

Cell: 4.670 4.670 4.670 Å, 60.00 60.00 60.00°
Fractional positions:
Al  0.000  0.000  0.000
Cu  0.500  0.500  0.500
Cu  0.750  0.750  0.750
Pb  0.250  0.250  0.250

4.
A plane-wave DFT calculation with GGA-PBE was carried out for a geometry-optimized AlCuPbS2 structure.

Calculated values
Size of the total moment: 0.00 μB/cell
E_form (uncorrected): -0.1 eV/f.u.
Total DFT energy (no corrections): -3.972 eV/atom
SG: No. 123

Cell: 4.753 4.753 4.720 Å, 90.00 90.00 90.00°
Fractional positions:
Al  0.000  0.000  0.000
Cu  0.000  0.000  0.500
Pb  0.500  0.500  0.500
S  0.000  0.500  0.000
S  0.500  0.000  0.000

What did the second record say?
A plane-wave DFT calculation with GGA-PBE was carried out for a geometry-optimized AlCuPb2 structure.

Calculated values
Size of the total moment: 0.00 μB/cell
Total DFT energy (no corrections): -3.490 eV/atom
SG: No. 123
Formation enthalpy at 0 K: 1.30 eV/f.u.

Cell: 5.182 5.182 3.471 Å, 90.00 90.00 90.00°
Fractional positions:
Al  0.000  0.000  0.000
Cu  0.500  0.500  0.000
Pb  0.000  0.500  0.500
Pb  0.500  0.000  0.500